(1)
Compound: LaPm5Pr4
Source: Alexandria via LeMat-Bulk
Functional: PBE
Structure: relaxed

## Properties
Calculated formation energy   0.017 eV per atom
Excess energy over the best structure of this formula in the dataset   0.03 eV/f.u.
Electronic total energy   -4.763 eV per atom

Cell: 3.7023 3.7023 25.9837 Å, 90.00 90.00 90.00°
Space group P4/mmm (No. 123)
One atom of each set of equivalent atoms:
La: 0.0000 0.0000 0.0000 (multiplicity 1)
Pm: 0.5000 0.5000 0.1005 (multiplicity 2)
Pm: 0.5000 0.5000 0.3003 (multiplicity 2)
Pm: 0.5000 0.5000 0.5000 (multiplicity 1)
Pr: 0.0000 0.0000 0.2003 (multiplicity 2)
Pr: 0.0000 0.0000 0.4002 (multiplicity 2)

***

(2)
Compound: Pm3Al2Ga9
Source: Alexandria via LeMat-Bulk
Functional: PBE
Structure: relaxed

## Properties
Calculated formation energy   -0.477 eV per atom
Electronic total energy   -3.975 eV per atom

Cell: 4.2515 10.0284 13.0528 Å, 90.00 90.00 90.00°
Space group Immm (No. 71)
One atom of each set of equivalent atoms:
Pm: 0.0000 0.0000 0.0000 (multiplicity 2)
Pm: 0.0000 0.0000 0.3206 (multiplicity 4)
Al: 0.0000 0.2216 0.5000 (multiplicity 4)
Ga: 0.0000 0.2732 0.1397 (multiplicity 8)
Ga: 0.0000 0.3726 0.3331 (multiplicity 8)
Ga: 0.0000 0.5000 0.0000 (multiplicity 2)

***

(3)
Compound: Al2FeRe
Source: Alexandria via LeMat-Bulk
Functional: PBE
Structure: relaxed

## Properties
Calculated formation energy   -0.086 eV per atom
Excess energy over the best structure of this formula in the dataset   0.37 eV/f.u.
Electronic total energy   -7.185 eV per atom

Cell: 2.7733 2.7733 25.3409 Å, 90.00 90.00 120.00°
Space group R-3m (No. 166, hexagonal axes)
One atom of each set of equivalent atoms:
Al: 0.0000 0.0000 0.2465 (multiplicity 6)
Fe: 0.0000 0.0000 0.5000 (multiplicity 3)
Re: 0.0000 0.0000 0.0000 (multiplicity 3)

***

(4)
Compound: NaCd2Ge
Source: Alexandria via LeMat-Bulk
Functional: PBE
Structure: relaxed

## Properties
Calculated formation energy   -0.072 eV per atom
Electronic total energy   -2.014 eV per atom

Cell: 4.4817 7.6393 5.8837 Å, 90.00 112.30 90.00°
Space group P2_1/m (No. 11)
One atom of each set of equivalent atoms:
Na: 0.0685 0.2500 0.1360 (multiplicity 2)
Cd: 0.3707 0.0487 0.7409 (multiplicity 4)
Ge: 0.2179 0.7500 0.4373 (multiplicity 2)

***

(5)
Compound: LaSnAuBr2
Source: Alexandria via LeMat-Bulk
Functional: PBE
Structure: relaxed

## Properties
Electronic total energy   -3.365 eV per atom
E_form (uncorrected)   -0.2544 eV/atom

Cell: 5.2726 5.2726 5.4472 Å, 90.00 90.00 90.00°
Space group P4/mmm (No. 123)
One atom of each set of equivalent atoms:
La: 0.0000 0.0000 0.0000 (multiplicity 1)
Sn: 0.5000 0.5000 0.0000 (multiplicity 1)
Au: 0.5000 0.5000 0.5000 (multiplicity 1)
Br: 0.0000 0.5000 0.5000 (multiplicity 2)

***

(6)
Compound: ReIN
Source: Alexandria via LeMat-Bulk
Functional: PBE
Structure: relaxed

## Properties
Excess energy over the best structure of this formula in the dataset   0.60 eV/f.u.
Electronic total energy   -7.088 eV per atom
E_form (uncorrected)   0.3528 eV/atom

Cell: 3.3897 3.3897 5.6334 Å, 90.00 90.00 120.00°
Space group P-6m2 (No. 187)
One atom of each set of equivalent atoms:
Re: 0.0000 0.0000 0.0000 (multiplicity 1)
I: 0.0000 0.0000 0.5000 (multiplicity 1)
N: 0.3333 0.6667 0.0000 (multiplicity 1)

***

(7)
Compound: CaYMnFe2
Source: Alexandria via LeMat-Bulk
Functional: PBE
Structure: relaxed

## Properties
Calculated formation energy   0.658 eV per atom
Electronic total energy   -6.254 eV per atom

Cell: 4.5446 4.5446 4.8903 Å, 90.00 90.00 90.00°
Space group P4/mmm (No. 123)
One atom of each set of equivalent atoms:
Ca: 0.0000 0.0000 0.0000 (multiplicity 1)
Y: 0.5000 0.5000 0.0000 (multiplicity 1)
Mn: 0.5000 0.5000 0.5000 (multiplicity 1)
Fe: 0.0000 0.5000 0.5000 (multiplicity 2)

***

(8)
Compound: AsPbI2N
Source: Alexandria via LeMat-Bulk
Functional: PBE
Structure: relaxed

## Properties
Excess energy over the best structure of this formula in the dataset   0.00 eV/f.u.
Electronic total energy   -3.517 eV per atom
E_form (uncorrected)   0.4401 eV/atom

Cell: 6.1349 6.1349 3.7673 Å, 90.00 90.00 90.00°
Space group P4/mmm (No. 123)
One atom of each set of equivalent atoms:
As: 0.0000 0.0000 0.0000 (multiplicity 1)
Pb: 0.5000 0.5000 0.5000 (multiplicity 1)
I: 0.0000 0.5000 0.0000 (multiplicity 2)
N: 0.0000 0.0000 0.5000 (multiplicity 1)